(1)
! Sr2Li17Au3 (PBE, relaxed); values from VASP
&SYSTEM
  ibrav = 0, nat = 22, ntyp = 3
/
ATOMIC_SPECIES
Li 6.94 Li.upf
Au 196.97 Au.upf
Sr 87.62 Sr.upf
CELL_PARAMETERS angstrom
7.962 0.006 0.860
0.773 7.924 0.860
0.006 0.006 8.008
ATOMIC_POSITIONS crystal
Li 0.907 0.907 0.907
Li 0.500 0.000 0.000
Li 0.000 0.736 0.264
Li 0.667 0.667 0.169
Li 0.736 0.264 0.000
Li 0.264 0.000 0.736
Li 0.169 0.667 0.667
Li 0.333 0.831 0.333
Li 0.093 0.093 0.093
Li 0.000 0.500 0.000
Li 0.000 0.000 0.500
Li 0.667 0.169 0.667
Li 0.736 0.000 0.264
Li 0.000 0.264 0.736
Li 0.831 0.333 0.333
Li 0.264 0.736 0.000
Li 0.333 0.333 0.831
Au 0.000 0.500 0.500
Au 0.500 0.500 0.000
Au 0.500 0.000 0.500
Sr 0.666 0.666 0.666
Sr 0.334 0.334 0.334
! Calculated formation energy: -3.3 eV/f.u.
! N(E_F): 10.0 states/eV/f.u.


(2)
! TbSmRu (PBE, relaxed); values from VASP
&SYSTEM
  ibrav = 0, nat = 3, ntyp = 3
/
ATOMIC_SPECIES
Ru 101.07 Ru.upf
Tb 158.93 Tb.upf
Sm 150.36 Sm.upf
CELL_PARAMETERS angstrom
-1.906 -1.911 2.128
2.563 -0.005 2.290
-2.785 6.483 0.551
ATOMIC_POSITIONS crystal
Ru 0.669 0.669 0.338
Tb 0.291 0.291 0.583
Sm 0.040 0.040 0.080
! Calculated formation energy: -0.8 eV/f.u.
! N(E_F): 1.7 states/eV/f.u.


(3)
! LaYAg2 (PBE, relaxed); values from VASP
&SYSTEM
  ibrav = 0, nat = 4, ntyp = 3
/
ATOMIC_SPECIES
Y 88.91 Y.upf
La 138.91 La.upf
Ag 107.87 Ag.upf
CELL_PARAMETERS angstrom
3.684 0.000 0.000
0.000 3.684 0.000
0.000 0.000 7.650
ATOMIC_POSITIONS crystal
Y 0.500 0.500 0.000
La 0.500 0.500 0.500
Ag 0.000 0.000 0.225
Ag 0.000 0.000 0.775
! Calculated formation energy: -1.2 eV/f.u.
! N(E_F): 2.3 states/eV/f.u.


(4)
! CaHoLu (PBE, relaxed); values from VASP
&SYSTEM
  ibrav = 0, nat = 3, ntyp = 3
/
ATOMIC_SPECIES
Ca 40.08 Ca.upf
Lu 174.97 Lu.upf
Ho 164.93 Ho.upf
CELL_PARAMETERS angstrom
3.568 0.000 0.000
-1.784 3.090 0.000
0.000 0.000 9.046
ATOMIC_POSITIONS crystal
Ca 0.000 0.000 0.997
Lu 0.333 0.667 0.652
Ho 0.667 0.333 0.350
! Calculated formation energy: 0.3 eV/f.u.
! N(E_F): 5.4 states/eV/f.u.


(5)
! TmMg2Pd2 (PBE, relaxed); values from VASP
&SYSTEM
  ibrav = 0, nat = 5, ntyp = 3
/
ATOMIC_SPECIES
Tm 168.93 Tm.upf
Mg 24.30 Mg.upf
Pd 106.42 Pd.upf
CELL_PARAMETERS angstrom
4.769 0.135 0.186
2.499 4.064 0.186
2.625 1.517 5.172
ATOMIC_POSITIONS crystal
Tm 0.000 0.500 0.000
Mg 0.207 0.707 0.356
Mg 0.793 0.293 0.644
Pd 0.589 0.089 0.220
Pd 0.411 0.911 0.780
! Calculated formation energy: -3.2 eV/f.u.
! N(E_F): 2.1 states/eV/f.u.


(6)
! CaTaRuO6 (PBE, relaxed); values from VASP
&SYSTEM
  ibrav = 0, nat = 18, ntyp = 4
/
ATOMIC_SPECIES
Ta 180.95 Ta.upf
Ca 40.08 Ca.upf
O 16.00 O.upf
Ru 101.07 Ru.upf
CELL_PARAMETERS angstrom
-4.018 -0.704 -2.688
0.959 -4.787 -0.180
-5.089 -1.319 7.952
ATOMIC_POSITIONS crystal
Ta 0.000 0.000 0.670
Ta 0.500 0.500 0.170
Ca 0.500 0.500 0.503
Ca 0.000 0.000 0.003
O 0.174 0.826 0.497
O 0.213 0.787 0.809
O 0.787 0.213 0.809
O 0.211 0.789 0.191
O 0.826 0.174 0.497
O 0.789 0.211 0.191
O 0.674 0.674 0.997
O 0.711 0.711 0.691
O 0.287 0.287 0.309
O 0.713 0.713 0.309
O 0.326 0.326 0.997
O 0.289 0.289 0.691
Ru 0.000 0.000 0.332
Ru 0.500 0.500 0.832
! Uncorrected formation energy: -2.10 eV/atom
! N(E_F): 1.7 states/eV/f.u.


(7)
! YFeC (PBE, relaxed); values from VASP
&SYSTEM
  ibrav = 0, nat = 6, ntyp = 3
/
ATOMIC_SPECIES
Y 88.91 Y.upf
C 12.01 C.upf
Fe 55.84 Fe.upf
CELL_PARAMETERS angstrom
3.259 0.000 0.000
0.000 5.224 -1.737
0.000 -0.048 5.467
ATOMIC_POSITIONS crystal
Y 0.250 0.331 0.208
Y 0.750 0.669 0.792
C 0.750 0.223 0.503
C 0.250 0.777 0.497
Fe 0.750 0.855 0.360
Fe 0.250 0.145 0.640
! Calculated formation energy: -0.4 eV/f.u.
! N(E_F): 2.4 states/eV/f.u.


(8)
! Li2CeCrN4 (PBE, relaxed); values from VASP
&SYSTEM
  ibrav = 0, nat = 16, ntyp = 4
/
ATOMIC_SPECIES
N 14.01 N.upf
Li 6.94 Li.upf
Ce 140.12 Ce.upf
Cr 52.00 Cr.upf
CELL_PARAMETERS angstrom
-3.794 0.488 -3.417
3.760 -1.278 -4.357
-1.464 -6.626 0.679
ATOMIC_POSITIONS crystal
N 0.886 0.319 0.215
N 0.386 0.681 0.715
N 0.337 0.211 0.000
N 0.886 0.319 0.785
N 0.386 0.681 0.285
N 0.457 0.102 0.500
N 0.837 0.789 0.500
N 0.957 0.898 0.000
Li 0.486 0.345 0.749
Li 0.986 0.655 0.249
Li 0.486 0.345 0.251
Li 0.986 0.655 0.751
Ce 0.959 0.148 0.500
Ce 0.459 0.852 0.000
Cr 0.503 0.806 0.500
Cr 0.003 0.194 0.000
! Uncorrected formation energy: -0.78 eV/atom


(9)
! TbY2HoBr4 (PBE, relaxed); values from VASP
&SYSTEM
  ibrav = 0, nat = 8, ntyp = 4
/
ATOMIC_SPECIES
Br 79.90 Br.upf
Tb 158.93 Tb.upf
Y 88.91 Y.upf
Ho 164.93 Ho.upf
CELL_PARAMETERS angstrom
-3.130 3.914 4.758
5.349 -3.905 1.974
2.054 3.798 -4.414
ATOMIC_POSITIONS crystal
Br 0.239 0.741 0.981
Br 0.741 0.239 0.981
Br 0.136 0.136 0.770
Br 0.634 0.634 0.770
Tb 0.135 0.135 0.270
Y 0.740 0.240 0.481
Y 0.240 0.740 0.481
Ho 0.633 0.633 0.267
! Uncorrected formation energy: -0.91 eV/atom
! N(E_F): 2.4 states/eV/f.u.


(10)
! CaCrCd (PBE, relaxed); values from VASP
&SYSTEM
  ibrav = 0, nat = 3, ntyp = 3
/
ATOMIC_SPECIES
Ca 40.08 Ca.upf
Cr 52.00 Cr.upf
Cd 112.41 Cd.upf
CELL_PARAMETERS angstrom
-2.977 1.609 0.815
2.056 -1.237 2.521
3.536 6.409 0.261
ATOMIC_POSITIONS crystal
Ca 0.000 0.000 0.995
Cr 0.333 0.667 0.647
Cd 0.667 0.333 0.358
! Calculated formation energy: 1.5 eV/f.u.
! N(E_F): 2.2 states/eV/f.u.


(11)
! LiSb2Pt (PBE, relaxed); values from VASP
&SYSTEM
  ibrav = 0, nat = 4, ntyp = 3
/
ATOMIC_SPECIES
Sb 121.76 Sb.upf
Li 6.94 Li.upf
Pt 195.08 Pt.upf
CELL_PARAMETERS angstrom
-2.150 -2.505 -0.088
0.305 -0.146 -3.288
5.777 -4.985 0.757
ATOMIC_POSITIONS crystal
Sb 0.000 0.000 0.918
Sb 0.500 0.500 0.327
Li 0.000 0.000 0.541
Pt 0.500 0.500 0.715
! Uncorrected formation energy: -0.31 eV/atom
! N(E_F): 2.2 states/eV/f.u.


(12)
! Ac2ErNi12P3 (PBE, relaxed); values from VASP
&SYSTEM
  ibrav = 0, nat = 18, ntyp = 4
/
ATOMIC_SPECIES
Ni 58.69 Ni.upf
P 30.97 P.upf
Ac 227.00 Ac.upf
Er 167.26 Er.upf
CELL_PARAMETERS angstrom
7.465 -0.105 -0.075
3.595 6.543 -0.075
3.595 2.093 6.200
ATOMIC_POSITIONS crystal
Ni 0.581 0.137 0.137
Ni 0.669 0.102 0.669
Ni 0.863 0.419 0.863
Ni 0.863 0.863 0.419
Ni 0.331 0.898 0.331
Ni 0.419 0.863 0.863
Ni 0.102 0.669 0.669
Ni 0.898 0.331 0.331
Ni 0.137 0.581 0.137
Ni 0.137 0.137 0.581
Ni 0.331 0.331 0.898
Ni 0.669 0.669 0.102
P 0.500 0.000 0.000
P 0.000 0.500 0.000
P 0.000 0.000 0.500
Ac 0.396 0.396 0.396
Ac 0.604 0.604 0.604
Er 0.000 0.000 0.000
! Calculated formation energy: -1.6 eV/f.u.
! N(E_F): 9.5 states/eV/f.u.


Values for E, eV per atom, ordered as above
-2.230, -6.473, -4.569, -3.600, -4.244, -7.975, -8.198, -7.370, -4.515, -3.667, -4.364, -5.554
Values for M_tot, Bohr magnetons per cell, ordered as above
0.00, 0.00, 0.03, 0.37, 0.00, 5.83, 1.15, 0.00, 0.00, 4.08, 0.00, 0.00